VASP calculation (PBE) on KRb2Tl2 after structural relaxation.

a = 5.756 Å, b = 5.756 Å, c = 16.134 Å
α = 90.00°, β = 90.00°, γ = 90.00°
Space group I4/mmm (No. 139)
One atom of each set of equivalent atoms:
1 K 0.000 0.000 0.000
2 Rb 0.000 0.500 0.250
3 Tl 0.000 0.000 0.409

Results
**Density of states at the Fermi level**: 0.75 states/eV per atom
**ΔE to the lowest computed polymorph**: 0.39 eV per formula unit
**DFT formation energy**: 0.04 eV per atom
**Spin magnetization**: 0.00 μB/cell
**Volume**: 53.46 Å³ per atom



VASP calculation (PBE) on KRb3Tl8 after structural relaxation.

a = 6.8322 Å, b = 6.8322 Å, c = 33.0477 Å
α = 90.00°, β = 90.00°, γ = 120.00°
Space group R3m (No. 160, hexagonal axes)
One atom of each set of equivalent atoms:
1 K 0.0000 0.0000 0.0000
2 Rb 0.0000 0.0000 0.3748
3 Rb 0.0000 0.0000 0.4997
4 Rb 0.0000 0.0000 0.8755
5 Tl 0.0000 0.0000 0.1874
6 Tl 0.0000 0.0000 0.6871
7 Tl 0.0004 0.5002 0.9381
8 Tl 0.1672 0.3343 0.7701

Results
**Density of states at the Fermi level**: 0.78 states/eV per atom
**ΔE to the lowest computed polymorph**: 0.33 eV per formula unit
**DFT formation energy**: -0.07 eV per atom
**Spin magnetization**: 0.00 μB/cell
**Volume**: 37.11 Å³ per atom



VASP calculation (PBE) on KRb2Tl after structural relaxation.

a = 9.658 Å, b = 9.658 Å, c = 9.658 Å
α = 90.00°, β = 90.00°, γ = 90.00°
Space group Fm-3m (No. 225)
One atom of each set of equivalent atoms:
1 K 0.000 0.000 0.000
2 Rb 0.250 0.250 0.250
3 Tl 0.000 0.000 0.500

Results
**Density of states at the Fermi level**: 1.81 states/eV per atom
**ΔE to the lowest computed polymorph**: 0.38 eV per formula unit
**DFT formation energy**: 0.06 eV per atom
**Spin magnetization**: 5.07 μB/cell
**Volume**: 56.31 Å³ per atom



VASP calculation (PBE) on K2Rb2Tl after structural relaxation.

a = 9.774 Å, b = 9.774 Å, c = 7.025 Å
α = 90.00°, β = 90.00°, γ = 90.00°
Space group P4/mbm (No. 127)
One atom of each set of equivalent atoms:
1 K 0.181 0.319 0.000
2 Rb 0.152 0.652 0.500
3 Tl 0.000 0.000 0.500

Results
**Density of states at the Fermi level**: 0.90 states/eV per atom
**ΔE to the lowest computed polymorph**: 0.60 eV per formula unit
**DFT formation energy**: 0.10 eV per atom
**Spin magnetization**: 0.00 μB/cell
**Volume**: 67.11 Å³ per atom